A plane-wave DFT calculation with PBE-GGA was carried out for an optimized crystal structure of RbNbSe4.

The structure in CIF format:
```
data_RbNbSe4
_chemical_formula_sum 'Rb4 Nb4 Se16'
_space_group_name_H-M_alt 'C 1 2/c 1'
_space_group_IT_number 15
_space_group_name_Hall '-C 2yc'
_cell_length_a 8.0698
_cell_length_b 15.0500
_cell_length_c 6.4804
_cell_angle_alpha 90.00
_cell_angle_beta 112.88
_cell_angle_gamma 90.00
loop_
_atom_site_label
_atom_site_fract_x
_atom_site_fract_y
_atom_site_fract_z
Rb1 0.0000 0.1488 0.2500
Nb1 0.0000 0.5002 0.2500
Se1 0.0627 0.3638 0.5300
Se2 0.2370 0.0699 0.8710
```

Summary:
Volume   725.1 Å³/cell
Energy relative to the elements, uncorrected   -0.6830 eV per atom